1.
A relaxed structure of MnH, computed with GGA-PBE. Values from VASP.

Summary:
Its space-group type is No. 223. The electronic total energy is -69.2 eV per cell.

Cell and atoms, written as Quantum ESPRESSO input:
```
&SYSTEM
  ibrav = 0, nat = 12, ntyp = 2
/
ATOMIC_SPECIES
H 1.01 H.upf
Mn 54.94 Mn.upf
ATOMIC_POSITIONS angstrom
H 2.3556 3.5334 0.0000
H 1.1778 0.0000 2.3556
H 0.0000 2.3556 1.1778
H 0.0000 2.3556 3.5334
H 2.3556 1.1778 0.0000
H 3.5334 0.0000 2.3556
Mn 3.5334 2.3556 0.0000
Mn 2.3556 0.0000 3.5334
Mn 2.3556 0.0000 1.1778
Mn 0.0000 3.5334 2.3556
Mn 1.1778 2.3556 0.0000
Mn 0.0000 1.1778 2.3556
CELL_PARAMETERS angstrom
4.7112 0.0000 0.0000
0.0000 4.7112 0.0000
0.0000 0.0000 4.7112
```

=====

2.
A relaxed structure of Mn13H2, computed with GGA-PBE. Values from VASP.

Summary:
Its space-group type is No. 2. The electronic total energy is -124.7 eV per cell.

Cell and atoms, written as Quantum ESPRESSO input:
```
&SYSTEM
  ibrav = 0, nat = 15, ntyp = 2
/
ATOMIC_SPECIES
H 1.01 H.upf
Mn 54.94 Mn.upf
ATOMIC_POSITIONS angstrom
H 0.5770 -0.0938 1.7504
H 2.9625 2.2300 3.8932
Mn 1.2170 2.4899 4.2014
Mn 1.0642 0.1745 3.4903
Mn 1.2264 3.7023 0.7298
Mn -0.2095 4.0502 2.8329
Mn 2.3131 -1.5661 4.9138
Mn 0.0000 0.0000 0.0000
Mn 3.3729 0.4636 3.9097
Mn 2.3225 -0.3537 1.4421
Mn 4.4205 -2.1427 5.2029
Mn 0.1666 1.6726 1.7339
Mn 3.7490 -1.9141 2.8107
Mn -0.8810 4.2789 0.4407
Mn 2.4753 1.9617 2.1533
CELL_PARAMETERS angstrom
4.6257 -0.9846 0.4542
-1.5677 6.4196 -0.0123
0.4815 -3.2988 5.2017
```